Material: HfTlCu3
Method: DFT, PBE-GGA
State: optimized geometry

The electronic total energy is -3.866 eV/atom. For the formation energy, the calculation gives 1.06 eV/atom. The calculated volume comes out at 126.1 Å³/cell.

The structure in CIF format:
```
data_HfTlCu3
_cell_length_a 5.0141
_cell_length_b 5.0141
_cell_length_c 5.0141
_cell_angle_alpha 90.00
_cell_angle_beta 90.00
_cell_angle_gamma 90.00
_symmetry_space_group_name_H-M 'P 1'
_symmetry_Int_Tables_number 1
_symmetry_space_group_name_Hall 'P 1'
loop_
_atom_site_label
_atom_site_type_symbol
_atom_site_fract_x
_atom_site_fract_y
_atom_site_fract_z
Cu1 Cu 0.0000 0.5000 0.0000
Cu2 Cu 0.5000 0.0000 0.0000
Cu3 Cu 0.0000 0.0000 0.5000
Hf1 Hf 0.0000 0.0000 0.0000
Tl1 Tl 0.5000 0.5000 0.5000
```

=====

Material: HfTlCu
Method: DFT, PBE-GGA
State: optimized geometry

The electronic total energy is -5.406 eV/atom. For the formation energy, the calculation gives 0.07 eV/atom. The calculated volume comes out at 117.9 Å³/cell.

The structure in CIF format:
```
data_HfTlCu
_cell_length_a 6.2083
_cell_length_b 3.3185
_cell_length_c 6.2802
_cell_angle_alpha 74.53
_cell_angle_beta 75.63
_cell_angle_gamma 74.41
_symmetry_space_group_name_H-M 'P 1'
_symmetry_Int_Tables_number 1
_symmetry_space_group_name_Hall 'P 1'
loop_
_atom_site_label
_atom_site_type_symbol
_atom_site_fract_x
_atom_site_fract_y
_atom_site_fract_z
Tl1 Tl 0.7523 0.3839 0.5962
Hf1 Hf 0.3513 0.9284 0.9032
Cu1 Cu 0.0622 0.4187 0.2058
Hf2 Hf 0.7014 0.1390 0.1287
Cu2 Cu 0.9903 0.6486 0.8260
Tl2 Tl 0.3004 0.6836 0.4357
```

=====

Material: HfTlCu2
Method: DFT, PBE-GGA
State: optimized geometry

The electronic total energy is -4.708 eV/atom. For the formation energy, the calculation gives 0.42 eV/atom. The calculated volume comes out at 154.9 Å³/cell.

The structure in CIF format:
```
data_HfTlCu2
_cell_length_a 7.2641
_cell_length_b 7.2641
_cell_length_c 5.9159
_cell_angle_alpha 52.12
_cell_angle_beta 52.12
_cell_angle_gamma 90.00
_symmetry_space_group_name_H-M 'P 1'
_symmetry_Int_Tables_number 1
_symmetry_space_group_name_Hall 'P 1'
loop_
_atom_site_label
_atom_site_type_symbol
_atom_site_fract_x
_atom_site_fract_y
_atom_site_fract_z
Hf1 Hf 0.2500 0.7500 0.5000
Cu1 Cu 0.6217 0.1250 0.2500
Cu2 Cu 0.1283 0.6250 0.2500
Tl1 Tl 0.7500 0.2500 0.5000
Hf2 Hf 0.5000 0.5000 0.0000
Cu3 Cu 0.8750 0.8717 0.7500
Cu4 Cu 0.3750 0.3783 0.7500
Tl2 Tl 0.0000 0.0000 0.0000
```

=====

Material: Hf2TlCu
Method: DFT, PBE-GGA
State: optimized geometry

The electronic total energy is -6.517 eV/atom. For the formation energy, the calculation gives 0.08 eV/atom. The calculated volume comes out at 78.7 Å³/cell.

The structure in CIF format:
```
data_Hf2TlCu
_cell_length_a 4.1985
_cell_length_b 4.3308
_cell_length_c 4.3308
_cell_angle_alpha 90.00
_cell_angle_beta 90.00
_cell_angle_gamma 90.00
_symmetry_space_group_name_H-M 'P 1'
_symmetry_Int_Tables_number 1
_symmetry_space_group_name_Hall 'P 1'
loop_
_atom_site_label
_atom_site_type_symbol
_atom_site_fract_x
_atom_site_fract_y
_atom_site_fract_z
Hf1 Hf 0.0000 0.0000 0.5000
Hf2 Hf 0.0000 0.5000 0.0000
Cu1 Cu 0.5000 0.5000 0.5000
Tl1 Tl 0.5000 0.0000 0.0000
```

=====

Material: HfTlCu
Method: DFT, PBE-GGA
State: optimized geometry

The electronic total energy is -5.451 eV/atom. For the formation energy, the calculation gives 0.02 eV/atom. The calculated volume comes out at 128.9 Å³/cell.

The structure in CIF format:
```
data_HfTlCu
_cell_length_a 12.3437
_cell_length_b 3.2604
_cell_length_c 3.2604
_cell_angle_alpha 89.89
_cell_angle_beta 97.65
_cell_angle_gamma 82.59
_symmetry_space_group_name_H-M 'P 1'
_symmetry_Int_Tables_number 1
_symmetry_space_group_name_Hall 'P 1'
loop_
_atom_site_label
_atom_site_type_symbol
_atom_site_fract_x
_atom_site_fract_y
_atom_site_fract_z
Hf1 Hf 0.6102 0.2353 0.0272
Cu1 Cu 0.3118 0.3795 0.8763
Tl1 Tl 0.8972 0.0949 0.1715
Hf2 Hf 0.4424 0.8163 0.4429
Tl2 Tl 0.1554 0.9574 0.2990
Cu2 Cu 0.7410 0.6720 0.5944
```

=====

Material: HfTlCu
Method: DFT, PBE-GGA
State: optimized geometry

The electronic total energy is -5.347 eV/atom. For the formation energy, the calculation gives 0.12 eV/atom. The calculated volume comes out at 120.2 Å³/cell.

The structure in CIF format:
```
data_HfTlCu
_cell_length_a 5.7535
_cell_length_b 8.0856
_cell_length_c 3.1838
_cell_angle_alpha 113.20
_cell_angle_beta 106.07
_cell_angle_gamma 62.78
_symmetry_space_group_name_H-M 'P 1'
_symmetry_Int_Tables_number 1
_symmetry_space_group_name_Hall 'P 1'
loop_
_atom_site_label
_atom_site_type_symbol
_atom_site_fract_x
_atom_site_fract_y
_atom_site_fract_z
Hf1 Hf 0.8032 0.8382 0.7160
Cu1 Cu 0.2111 0.5823 0.1643
Tl1 Tl 0.8927 0.3955 0.3172
Cu2 Cu 0.4916 0.6881 0.9098
Tl2 Tl 0.5050 0.2206 0.4490
Hf2 Hf 0.1586 0.9843 0.5392
```